Record 1
Density functional theory data (PBE) for an optimized crystal structure of Ta2MoRu.

a = 3.204 Å, b = 3.204 Å, c = 6.444 Å
α = 90.00°, β = 90.00°, γ = 90.00°
Positions (direct):
Ta 0.000 0.000 0.000
Ta 0.500 0.500 0.268
Mo 0.000 0.000 0.506
Ru 0.500 0.500 0.762

Summary:
DFT formation energy	-0.123	eV/atom



Record 2
Density functional theory data (PBE) for an optimized crystal structure of TaMo2Ru.

a = 4.498 Å, b = 4.498 Å, c = 3.148 Å
α = 90.00°, β = 90.00°, γ = 90.00°
Positions (direct):
Ta 0.000 0.000 0.000
Mo 0.000 0.500 0.500
Mo 0.500 0.000 0.500
Ru 0.500 0.500 0.000

Summary:
DFT formation energy	0.014	eV/atom



Record 3
Density functional theory data (PBE) for an optimized crystal structure of TaMoRu.

a = 2.807 Å, b = 4.417 Å, c = 7.772 Å
α = 90.00°, β = 90.30°, γ = 90.00°
Positions (direct):
Ta 0.028 0.250 0.264
Ta 0.972 0.750 0.736
Mo 0.355 0.750 0.077
Mo 0.645 0.250 0.923
Ru 0.283 0.250 0.598
Ru 0.717 0.750 0.402

Summary:
DFT formation energy	-0.105	eV/atom



Record 4
Density functional theory data (PBE) for an optimized crystal structure of TaMoRu.

a = 4.437 Å, b = 4.437 Å, c = 2.814 Å
α = 90.00°, β = 90.00°, γ = 120.00°
Positions (direct):
Ta 0.000 0.000 0.000
Mo 0.333 0.667 0.316
Ru 0.667 0.333 0.679

Summary:
DFT formation energy	0.008	eV/atom



Number 1: energy above the most stable polymorph in this dataset 1.01 eV/f.u., E_tot -11.076 eV per atom. Number 2: energy above the most stable polymorph in this dataset 0.55 eV/f.u., E_tot -10.684 eV per atom. Number 3: energy above the most stable polymorph in this dataset 0.28 eV/f.u., E_tot -10.758 eV per atom. Number 4: energy above the most stable polymorph in this dataset 0.62 eV/f.u., E_tot -10.645 eV per atom.